Record 1
## MoPRu (PBE-GGA)

Data for a relaxed structure of MoPRu.

```
MoPRu
1.0
2.841 0.000 0.000
-1.420 2.460 0.000
0.000 0.000 6.029
Mo P Ru
1 1 1
direct
0.000 0.000 0.000
0.667 0.333 0.332
0.333 0.667 0.628
```

Calculated values
ρ (g/cm³): 9.0
Energy of formation from the pure elements (meV/atom): -62.3
Distance to the lowest polymorph of the same formula (meV/atom): 469

Record 2
## ThScIrPd (PBE-GGA)

Data for a relaxed structure of ThScIrPd.

```
ThScIrPd
1.0
0.000 3.468 3.468
3.468 0.000 3.468
3.468 3.468 0.000
Th Sc Ir Pd
1 1 1 1
direct
0.000 0.000 0.000
0.500 0.500 0.500
0.250 0.250 0.250
0.750 0.750 0.750
```

Calculated values
ρ (g/cm³): 11.5
Energy of formation from the pure elements (meV/atom): -780.2

Record 3
## Sc2GaB2Ru5 (PBE-GGA)

Data for a relaxed structure of Sc2GaB2Ru5.

```
Sc2GaB2Ru5
1.0
9.380 0.000 0.000
0.000 9.380 0.000
0.000 0.000 3.043
Sc Ga B Ru
4 2 4 10
direct
0.175 0.325 0.000
0.325 0.825 0.000
0.675 0.175 0.000
0.825 0.675 0.000
0.000 0.000 0.000
0.500 0.500 0.000
0.126 0.626 0.000
0.374 0.126 0.000
0.626 0.874 0.000
0.874 0.374 0.000
0.000 0.500 0.500
0.070 0.784 0.500
0.216 0.070 0.500
0.284 0.570 0.500
0.430 0.284 0.500
0.500 0.000 0.500
0.570 0.716 0.500
0.716 0.430 0.500
0.784 0.930 0.500
0.930 0.216 0.500
```

Calculated values
ρ (g/cm³): 8.5
Energy of formation from the pure elements (meV/atom): -569.0

Record 4
## Al2HgTe3 (PBE-GGA)

Data for a relaxed structure of Al2HgTe3.

```
Al2HgTe3
1.0
10.294 -2.114 0.000
10.294 2.114 0.000
-1.637 0.000 10.142
Al Hg Te
4 2 6
direct
0.044 0.044 0.136
0.294 0.294 0.628
0.706 0.706 0.372
0.956 0.956 0.864
0.293 0.293 0.932
0.707 0.707 0.068
0.085 0.085 0.911
0.284 0.284 0.354
0.424 0.424 0.697
0.576 0.576 0.303
0.716 0.716 0.646
0.915 0.915 0.089
```

Calculated values
Uncorrected formation energy (eV/atom): -0.3276
ρ (g/cm³): 4.8

Record 5
## CrReNiOs2 (PBE-GGA)

Data for a relaxed structure of CrReNiOs2.

```
CrReNiOs2
1.0
4.673 0.000 0.000
0.000 4.673 0.000
0.000 0.000 4.454
Cr Re Ni Os
1 1 1 2
direct
0.000 0.000 0.000
0.500 0.500 0.500
0.500 0.500 0.000
0.000 0.500 0.500
0.500 0.000 0.500
```

Calculated values
ρ (g/cm³): 11.6
Energy of formation from the pure elements (meV/atom): 2265.7

Record 6
## Be4PBr (PBE-GGA)

Data for a relaxed structure of Be4PBr.

```
Be4PBr
1.0
0.000 3.353 3.353
3.353 0.000 3.353
3.353 3.353 0.000
Be P Br
4 1 1
direct
0.379 0.379 0.379
0.379 0.379 0.864
0.379 0.864 0.379
0.864 0.379 0.379
0.750 0.750 0.750
0.000 0.000 0.000
```

Calculated values
Uncorrected formation energy (eV/atom): 0.7416
ρ (g/cm³): 3.2

Record 7
## Ca8Ag2H (PBE-GGA)

Data for a relaxed structure of Ca8Ag2H.

```
Ca8Ag2H
1.0
6.780 -3.506 0.000
6.780 3.506 0.000
-0.218 0.000 7.566
Ca Ag H
8 2 1
direct
0.208 0.718 0.771
0.217 0.217 0.903
0.282 0.792 0.229
0.308 0.308 0.391
0.692 0.692 0.609
0.718 0.208 0.771
0.783 0.783 0.097
0.792 0.282 0.229
0.106 0.106 0.548
0.894 0.894 0.452
0.000 0.000 0.000
```

Calculated values
Energy (eV per atom): -2.42
ρ (g/cm³): 2.5

Record 8
## SrY2CdO (PBE-GGA)

Data for a relaxed structure of SrY2CdO.

```
SrY2CdO
1.0
4.843 0.000 0.000
0.000 4.843 0.000
0.000 0.000 5.148
Sr Y Cd O
1 2 1 1
direct
0.000 0.000 0.000
0.000 0.500 0.500
0.500 0.000 0.500
0.500 0.500 0.000
0.000 0.000 0.500
```

Calculated values
Uncorrected formation energy (eV/atom): -1.1926
ρ (g/cm³): 5.4

Record 9
## NiBi2Pb (PBE-GGA)

Data for a relaxed structure of NiBi2Pb.

```
NiBi2Pb
1.0
3.356 0.000 0.000
0.000 3.356 0.000
0.000 0.000 9.177
Ni Bi Pb
1 2 1
direct
0.000 0.000 0.000
0.500 0.500 0.184
0.500 0.500 0.816
0.000 0.000 0.500
```

Calculated values
ρ (g/cm³): 11.0
Energy of formation from the pure elements (meV/atom): 79.5

Record 10
## Hf2TiHRh (PBE-GGA)

Data for a relaxed structure of Hf2TiHRh.

```
Hf2TiHRh
1.0
4.560 0.000 0.000
0.000 4.560 0.000
0.000 0.000 3.598
Hf Ti H Rh
2 1 1 1
direct
0.000 0.500 0.000
0.500 0.000 0.000
0.000 0.000 0.500
0.000 0.000 0.000
0.500 0.500 0.500
```

Calculated values
Energy (eV per atom): -8.10
ρ (g/cm³): 11.3

Record 11
## RbGaO3 (PBE-GGA)

Data for a relaxed structure of RbGaO3.

```
RbGaO3
1.0
4.286 0.000 0.000
0.000 4.286 0.000
0.000 0.000 4.286
Rb Ga O
1 1 3
direct
0.000 0.000 0.000
0.500 0.500 0.500
0.000 0.000 0.500
0.000 0.500 0.000
0.500 0.000 0.000
```

Calculated values
Uncorrected formation energy (eV/atom): 0.9658
ρ (g/cm³): 4.3

Record 12
## SrPaSn2 (PBE-GGA)

Data for a relaxed structure of SrPaSn2.

```
SrPaSn2
1.0
2.401 1.386 6.819
-2.401 1.386 6.819
0.000 -2.773 6.819
Sr Pa Sn
1 1 2
direct
0.000 0.000 0.000
0.500 0.500 0.500
0.234 0.234 0.234
0.766 0.766 0.766
```

Calculated values
ρ (g/cm³): 6.8
Energy of formation from the pure elements (meV/atom): -174.2
Distance to the lowest polymorph of the same formula (meV/atom): 172

Record 13
## Dy3ErRh (PBE-GGA)

Data for a relaxed structure of Dy3ErRh.

```
Dy3ErRh
1.0
5.966 -1.872 0.000
5.966 1.872 0.000
-5.856 0.000 12.343
Dy Er Rh
6 2 2
direct
0.000 0.000 0.000
0.013 0.013 0.361
0.346 0.346 0.475
0.455 0.455 0.756
0.663 0.663 0.239
0.677 0.677 0.601
0.222 0.222 0.846
0.330 0.330 0.124
0.015 0.015 0.631
0.664 0.664 0.971
```

Calculated values
ρ (g/cm³): 9.1
Energy of formation from the pure elements (meV/atom): -398.1
Distance to the lowest polymorph of the same formula (meV/atom): 0

Record 14
## Mg15In2Hg2 (PBE-GGA)

Data for a relaxed structure of Mg15In2Hg2.

```
Mg15In2Hg2
1.0
4.418 2.551 7.037
-4.418 2.551 7.037
0.000 -5.101 7.037
Mg In Hg
15 2 2
direct
0.000 0.000 0.500
0.000 0.321 0.679
0.000 0.500 0.000
0.000 0.679 0.321
0.202 0.568 0.568
0.321 0.000 0.679
0.321 0.679 0.000
0.432 0.432 0.798
0.432 0.798 0.432
0.500 0.000 0.000
0.568 0.202 0.568
0.568 0.568 0.202
0.679 0.000 0.321
0.679 0.321 0.000
0.798 0.432 0.432
0.280 0.280 0.280
0.720 0.720 0.720
0.079 0.079 0.079
0.921 0.921 0.921
```

Calculated values
ρ (g/cm³): 3.5
Energy of formation from the pure elements (meV/atom): 126.9

Record 15
## ReAuSe2 (PBE-GGA)

Data for a relaxed structure of ReAuSe2.

```
ReAuSe2
1.0
2.959 0.000 0.000
0.000 2.959 0.000
0.000 0.000 9.241
Re Au Se
1 1 2
direct
0.000 0.000 0.000
0.500 0.500 0.784
0.000 0.000 0.538
0.500 0.500 0.159
```

Calculated values
Uncorrected formation energy (eV/atom): 0.3029
ρ (g/cm³): 11.1
Distance to the lowest polymorph of the same formula (meV/atom): 190

Record 16
## LaThCI (PBE-GGA)

Data for a relaxed structure of LaThCI.

```
LaThCI
1.0
3.356 -1.943 0.000
3.356 1.943 0.000
-2.236 0.000 8.016
La Th C I
1 1 1 1
direct
0.000 0.000 0.000
0.782 0.782 0.347
0.398 0.398 0.193
0.223 0.223 0.669
```

Calculated values
Uncorrected formation energy (eV/atom): -0.6871
ρ (g/cm³): 8.1

Record 17
## Y4HgSbSe2 (PBE-GGA)

Data for a relaxed structure of Y4HgSbSe2.

```
Y4HgSbSe2
1.0
7.131 0.000 0.000
0.000 4.144 0.000
-2.380 0.000 7.206
Y Hg Sb Se
4 1 1 2
direct
0.245 0.000 0.237
0.253 0.500 0.766
0.747 0.500 0.234
0.755 0.000 0.763
0.000 0.000 0.500
0.500 0.500 0.500
0.000 0.500 0.000
0.500 0.000 0.000
```

Calculated values
Uncorrected formation energy (eV/atom): -1.2720
ρ (g/cm³): 6.5

Record 18
## GdCuSb (PBE-GGA)

Data for a relaxed structure of GdCuSb.

```
GdCuSb
1.0
4.365 0.000 0.000
-2.182 3.780 0.000
0.000 0.000 4.135
Gd Cu Sb
1 1 1
direct
0.000 0.000 0.000
0.333 0.667 0.491
0.667 0.333 0.501
```

Calculated values
Uncorrected formation energy (eV/atom): -0.6983
ρ (g/cm³): 8.3

Record 19
## LuHPb (PBE-GGA)

Data for a relaxed structure of LuHPb.

```
LuHPb
1.0
3.583 0.000 0.000
-1.792 3.103 0.000
0.000 0.000 5.115
Lu H Pb
1 1 1
direct
0.000 0.000 0.000
0.333 0.667 0.000
0.667 0.333 0.500
```

Calculated values
ρ (g/cm³): 11.2
Distance to the lowest polymorph of the same formula (meV/atom): 0

Record 20
## ScNiBr2 (PBE-GGA)

Data for a relaxed structure of ScNiBr2.

```
ScNiBr2
1.0
3.454 0.000 0.000
0.000 3.582 0.000
-1.528 0.000 6.261
Sc Ni Br
1 1 2
direct
0.000 0.000 0.000
0.000 0.000 0.500
0.328 0.500 0.747
0.672 0.500 0.253
```

Calculated values
Uncorrected formation energy (eV/atom): -0.3550
ρ (g/cm³): 5.6
Distance to the lowest polymorph of the same formula (meV/atom): 419